Below is a geometry-optimized InBS2Cl structure, with properties calculated at the PBE level.

a = 5.080 Å, b = 5.080 Å, c = 5.046 Å
α = 90.00°, β = 90.00°, γ = 90.00°
Sites, in units of the cell vectors:
S 0.500 0.000 0.000
S 0.000 0.500 0.000
B 0.500 0.500 0.500
Cl 0.000 0.000 0.500
In 0.000 0.000 0.000

Results
Space group: P4/mmm, No. 123
Magnetization (μB/atom): 0.084
E above lowest polymorph (meV/atom): 708
Crystal system: tetragonal
E (eV for the cell shown): -14.57

=====

Below is a geometry-optimized TaIn2BCl structure, with properties calculated at the PBE level.

a = 5.695 Å, b = 4.139 Å, c = 5.695 Å
α = 90.00°, β = 90.00°, γ = 90.00°
Sites, in units of the cell vectors:
B 0.000 0.500 0.000
In 0.500 0.000 0.000
In 0.000 0.000 0.500
Cl 0.500 0.500 0.500
Ta 0.000 0.000 0.000

Results
Space group: P4/mmm, No. 123
Magnetization (μB/atom): 0.000
Crystal system: tetragonal
E (eV for the cell shown): -22.43

=====

Below is a geometry-optimized InB2WCl structure, with properties calculated at the PBE level.

a = 4.079 Å, b = 4.687 Å, c = 4.079 Å
α = 90.00°, β = 90.00°, γ = 90.00°
Sites, in units of the cell vectors:
W 0.000 0.500 0.000
B 0.000 0.000 0.500
B 0.500 0.000 0.000
Cl 0.000 0.000 0.000
In 0.500 0.500 0.500

Results
Space group: P4/mmm, No. 123
Magnetization (μB/atom): 0.216
Crystal system: tetragonal
E (eV for the cell shown): -19.78

=====

Below is a geometry-optimized B2IrCl structure, with properties calculated at the PBE level.

a = 4.034 Å, b = 4.034 Å, c = 4.034 Å
α = 60.00°, β = 60.00°, γ = 60.00°
Sites, in units of the cell vectors:
Cl 0.000 0.000 0.000
B 0.750 0.750 0.750
B 0.250 0.250 0.250
Ir 0.500 0.500 0.500

Results
Space group: Fm-3m, No. 225
Magnetization (μB/atom): 0.000
E above lowest polymorph (meV/atom): 1360
Crystal system: cubic
E (eV for the cell shown): -16.34